## one
## BeInAg2 (PBE-GGA)

Data for a relaxed structure of BeInAg2.

The structure in CIF format:
```
data_BeInAg2
_symmetry_space_group_name_H-M 'F m -3 m'
_symmetry_Int_Tables_number 225
_symmetry_space_group_name_Hall '-F 4 2 3'
_cell_length_a 6.470
_cell_length_b 6.470
_cell_length_c 6.470
_cell_angle_alpha 90.00
_cell_angle_beta 90.00
_cell_angle_gamma 90.00
loop_
_atom_site_label
_atom_site_type_symbol
_atom_site_fract_x
_atom_site_fract_y
_atom_site_fract_z
Be1 Be 0.000 0.000 0.000
In1 In 0.000 0.000 0.500
Ag1 Ag 0.250 0.250 0.250
```

---

## two
## BeInAg2 (PBE-GGA)

Data for a relaxed structure of BeInAg2.

The structure in CIF format:
```
data_BeInAg2
_symmetry_space_group_name_H-M 'I m m m'
_symmetry_Int_Tables_number 71
_symmetry_space_group_name_Hall '-I 2 2'
_cell_length_a 3.143
_cell_length_b 4.632
_cell_length_c 9.249
_cell_angle_alpha 90.00
_cell_angle_beta 90.00
_cell_angle_gamma 90.00
loop_
_atom_site_label
_atom_site_type_symbol
_atom_site_fract_x
_atom_site_fract_y
_atom_site_fract_z
Be1 Be 0.000 0.000 0.000
In1 In 0.000 0.000 0.500
Ag1 Ag 0.000 0.500 0.291
```

---

The data favor two; the next most stable structure lies 71 meV/atom above it.

---

## one
## RhC2 (PBE-GGA)

Data for a relaxed structure of RhC2.

The structure in CIF format:
```
data_RhC2
_symmetry_space_group_name_H-M 'P 6/m m m'
_symmetry_Int_Tables_number 191
_symmetry_space_group_name_Hall '-P 6 2'
_cell_length_a 2.5071
_cell_length_b 2.5071
_cell_length_c 8.7174
_cell_angle_alpha 90.00
_cell_angle_beta 90.00
_cell_angle_gamma 120.00
loop_
_atom_site_label
_atom_site_type_symbol
_atom_site_fract_x
_atom_site_fract_y
_atom_site_fract_z
Rh1 Rh 0.0000 0.0000 0.0000
C1 C 0.3333 0.6667 0.5000
```

---

## two
## RhC2 (PBE-GGA)

Data for a relaxed structure of RhC2.

The structure in CIF format:
```
data_RhC2
_symmetry_space_group_name_H-M 'F m -3 m'
_symmetry_Int_Tables_number 225
_symmetry_space_group_name_Hall '-F 4 2 3'
_cell_length_a 4.957
_cell_length_b 4.957
_cell_length_c 4.957
_cell_angle_alpha 90.00
_cell_angle_beta 90.00
_cell_angle_gamma 90.00
loop_
_atom_site_label
_atom_site_type_symbol
_atom_site_fract_x
_atom_site_fract_y
_atom_site_fract_z
Rh1 Rh 0.000 0.000 0.000
C1 C 0.250 0.250 0.250
```

---

The data favor one; the next most stable structure lies 1385 meV/atom above it.